[1]
Computed, not measured: a geometry-optimized Zn2InCo structure at the PBE-GGA level of DFT.

As for the symmetry: P4/mmm. The magnetization is 0.0 μB/f.u. As for the calculated total energy: -0.2191 Ry per atom. As for the density: 8.40 g/cm³.

Unit cell a=3.850 b=3.850 c=4.059 alpha=90.00 beta=90.00 gamma=90.00
Fractional coordinates of all 4 atoms:
Zn 0.000 0.500 0.000
Zn 0.500 0.000 0.000
In 0.000 0.000 0.500
Co 0.500 0.500 0.500

---

[2]
Computed, not measured: a geometry-optimized AcZr2TeO8 structure at the PBE-GGA level of DFT.

As for the symmetry: Cmmm. As for the energy relative to the elements, uncorrected: -30.42 eV per formula unit. The magnetization is 0.0 μB/f.u. As for the density: 6.22 g/cm³.

Unit cell a=5.071 b=5.071 c=6.905 alpha=90.00 beta=90.00 gamma=91.65
Fractional coordinates of all 12 atoms:
Ac 0.000 0.000 0.000
Zr 0.500 0.500 0.254
Zr 0.500 0.500 0.746
Te 0.000 0.000 0.500
O 0.205 0.205 0.289
O 0.205 0.205 0.711
O 0.298 0.702 0.500
O 0.331 0.669 0.000
O 0.669 0.331 0.000
O 0.702 0.298 0.500
O 0.795 0.795 0.289
O 0.795 0.795 0.711

---

[3]
Computed, not measured: a geometry-optimized Mg2GeIr2 structure at the PBE-GGA level of DFT.

As for the symmetry: Immm. The magnetization is 0.0 μB/f.u. The calculation puts the excess energy over the best structure of this formula in the dataset at 0.000 eV/f.u. As for the density: 9.63 g/cm³.

Unit cell a=3.901 b=5.578 c=8.016 alpha=90.00 beta=90.00 gamma=90.00
Fractional coordinates of all 10 atoms:
Mg 0.000 0.000 0.199
Mg 0.000 0.000 0.801
Mg 0.500 0.500 0.301
Mg 0.500 0.500 0.699
Ge 0.000 0.500 0.000
Ge 0.500 0.000 0.500
Ir 0.000 0.267 0.500
Ir 0.000 0.733 0.500
Ir 0.500 0.233 0.000
Ir 0.500 0.767 0.000

---

Number 2 is which compound? AcZr2TeO8

---

What is the formula in the first record? Zn2InCo

---

Please write out number 3 again, unchanged.
Computed, not measured: a geometry-optimized Mg2GeIr2 structure at the PBE-GGA level of DFT.

As for the symmetry: Immm. The magnetization is 0.0 μB/f.u. The calculation puts the excess energy over the best structure of this formula in the dataset at 0.000 eV/f.u. As for the density: 9.63 g/cm³.

Unit cell a=3.901 b=5.578 c=8.016 alpha=90.00 beta=90.00 gamma=90.00
Fractional coordinates of all 10 atoms:
Mg 0.000 0.000 0.199
Mg 0.000 0.000 0.801
Mg 0.500 0.500 0.301
Mg 0.500 0.500 0.699
Ge 0.000 0.500 0.000
Ge 0.500 0.000 0.500
Ir 0.000 0.267 0.500
Ir 0.000 0.733 0.500
Ir 0.500 0.233 0.000
Ir 0.500 0.767 0.000